Material: CrSiW2O
Method: DFT, PBE+U
State: relaxed

## Properties
E = -4.6805 eV/atom
Fermi-level density of states = 1.702 states/eV/cell

Structure (POSCAR):
```
CrSiW2O
1.0
-3.496 -2.596 -1.825
2.725 -1.218 -3.489
1.488 -3.740 2.468
Cr Si O W
1 1 1 2
Cartesian
1.362 -0.609 -1.744 Cr
0.000 0.000 0.000 Si
0.359 -3.776 -1.423 O
0.744 -1.870 1.234 W
-1.748 -1.298 -0.912 W
```